No. 1
This record from the Alexandria database describes Na6HgAu3 after structural relaxation. The functional is PBE.

```
data_Na6HgAu3
_chemical_formula_sum 'Na12 Hg2 Au6'
_cell_length_a 11.335
_cell_length_b 5.110
_cell_length_c 9.748
_cell_angle_alpha 90.00
_cell_angle_beta 117.74
_cell_angle_gamma 90.00
_symmetry_space_group_name_H-M 'C 1 2/m 1'
_symmetry_Int_Tables_number 12
loop_
_symmetry_equiv_pos_as_xyz
'x,y,z'
'-x,-y,-z'
'-x,y,-z'
'x,-y,z'
'x+1/2,y+1/2,z'
'-x+1/2,-y+1/2,-z'
'-x+1/2,y+1/2,-z'
'x+1/2,-y+1/2,z'
loop_
_atom_site_label
_atom_site_type_symbol
_atom_site_fract_x
_atom_site_fract_y
_atom_site_fract_z
Na1 Na 0.033 0.000 0.191
Na2 Na 0.157 0.500 0.499
Na3 Na 0.193 0.500 0.872
Hg1 Hg 0.000 0.000 0.500
Au1 Au 0.000 0.500 0.000
Au2 Au 0.245 0.500 0.250
```

M_tot: 0.000 μB per formula unit
total energy: -2.085 eV per atom
ΔH_f (0 K): -271 kJ/mol of formula units

=====

No. 2
This record from the Alexandria database describes Tb2NdHoIn4 after structural relaxation. The functional is PBE.

```
data_Tb2NdHoIn4
_chemical_formula_sum 'Tb6 Nd3 Ho3 In12'
_cell_length_a 5.3567
_cell_length_b 5.3567
_cell_length_c 26.3233
_cell_angle_alpha 90.00
_cell_angle_beta 90.00
_cell_angle_gamma 120.00
_symmetry_space_group_name_H-M 'R -3 m'
_symmetry_Int_Tables_number 166
_symmetry_space_group_name_Hall '-R 3 2"'
loop_
_atom_site_label
_atom_site_type_symbol
_atom_site_fract_x
_atom_site_fract_y
_atom_site_fract_z
Tb1 Tb 0.0000 0.0000 0.2495
Nd1 Nd 0.0000 0.0000 0.0000
Ho1 Ho 0.0000 0.0000 0.5000
In1 In 0.0000 0.0000 0.1264
In2 In 0.0000 0.0000 0.3765
```

M_tot: 0.000 μB per formula unit
total energy: -4.167 eV per atom
ΔH_f (0 K): -364 kJ/mol of formula units